The following is a DFT calculation (meta-GGA SCAN) of a PBEsol-optimized structure of Sc5Si4.

Computed properties:
Symmetry: No. 62
E_tot (Ry per atom): -0.968
Crystal system: orthorhombic
Magnetic moment (μB per cell): 0.00

Unit cell a=6.856 b=7.142 c=13.500 alpha=90.00 beta=90.00 gamma=90.00
Atoms (fractional coordinates):
Si1 0.839 0.968 0.961
Si2 0.161 0.032 0.039
Si3 0.339 0.532 0.961
Si4 0.661 0.468 0.039
Si5 0.339 0.532 0.539
Si6 0.784 0.864 0.250
Si7 0.970 0.603 0.750
Si8 0.284 0.636 0.250
Si9 0.839 0.968 0.539
Si10 0.470 0.897 0.750
Si11 0.161 0.032 0.461
Si12 0.030 0.397 0.250
Si13 0.716 0.364 0.750
Si14 0.216 0.136 0.750
Si15 0.530 0.103 0.250
Si16 0.661 0.468 0.461
Sc1 0.330 0.323 0.374
Sc2 0.841 0.005 0.750
Sc3 0.830 0.177 0.126
Sc4 0.487 0.820 0.096
Sc5 0.013 0.320 0.596
Sc6 0.987 0.680 0.404
Sc7 0.659 0.505 0.250
Sc8 0.330 0.323 0.126
Sc9 0.159 0.995 0.250
Sc10 0.830 0.177 0.374
Sc11 0.513 0.180 0.596
Sc12 0.013 0.320 0.904
Sc13 0.670 0.677 0.626
Sc14 0.487 0.820 0.404
Sc15 0.513 0.180 0.904
Sc16 0.170 0.823 0.874
Sc17 0.170 0.823 0.626
Sc18 0.987 0.680 0.096
Sc19 0.670 0.677 0.874
Sc20 0.341 0.495 0.750

=====

The following is a DFT calculation (meta-GGA SCAN) of a PBEsol-optimized structure of ZrTlSb2.

Computed properties:
Symmetry: No. 65
E_tot (Ry per atom): -3.271
Crystal system: orthorhombic
Magnetic moment (μB per cell): 0.00

Unit cell a=3.741 b=5.182 c=5.182 alpha=105.38 beta=89.96 gamma=89.96
Atoms (fractional coordinates):
Sb1 0.000 0.500 0.000
Sb2 0.000 0.000 0.500
Tl1 0.500 0.000 0.000
Zr1 0.500 0.500 0.500

=====

The following is a DFT calculation (meta-GGA SCAN) of a PBEsol-optimized structure of LaSbNO2.

Computed properties:
Symmetry: No. 123
E_tot (Ry per atom): -1.530
Crystal system: tetragonal
Magnetic moment (μB per cell): 0.38

Unit cell a=4.427 b=4.427 c=4.439 alpha=90.00 beta=90.00 gamma=90.00
Each line ends with the local moment (μB).
Atoms (fractional coordinates):
O1 0.000 0.500 0.000  0.17
O2 0.500 0.000 0.000  0.17
Sb1 0.500 0.500 0.500  -0.02
La1 0.000 0.000 0.000  0.07
N1 0.000 0.000 0.500  -0.01

=====

The following is a DFT calculation (meta-GGA SCAN) of a PBEsol-optimized structure of YCu4Au.

Computed properties:
Symmetry: No. 216
E_tot (Ry per atom): -1.962
Calculated formation energy (eV per atom): -0.389
Crystal system: cubic
Magnetic moment (μB per cell): 0.00

Unit cell a=4.956 b=4.956 c=4.956 alpha=60.00 beta=60.00 gamma=60.00
Atoms (fractional coordinates):
Y1 0.750 0.750 0.750
Cu1 0.374 0.877 0.374
Cu2 0.374 0.374 0.374
Cu3 0.374 0.374 0.877
Cu4 0.877 0.374 0.374
Au1 0.000 0.000 0.000

=====

The following is a DFT calculation (meta-GGA SCAN) of a PBEsol-optimized structure of LaTlNi3.

Computed properties:
Symmetry: No. 221
E_tot (Ry per atom): -2.322
Calculated formation energy (eV per atom): 1.199
Crystal system: cubic
Magnetic moment (μB per cell): 0.00

Unit cell a=4.703 b=4.703 c=4.703 alpha=90.00 beta=90.00 gamma=90.00
Atoms (fractional coordinates):
Tl1 0.500 0.500 0.500
La1 0.000 0.000 0.000
Ni1 0.500 0.000 0.000
Ni2 0.000 0.000 0.500
Ni3 0.000 0.500 0.000

=====

The following is a DFT calculation (meta-GGA SCAN) of a PBEsol-optimized structure of CsInSb3.

Computed properties:
Symmetry: No. 221
E_tot (Ry per atom): -2.670
Crystal system: cubic
Magnetic moment (μB per cell): 0.00

Unit cell a=5.689 b=5.689 c=5.689 alpha=90.00 beta=90.00 gamma=90.00
Atoms (fractional coordinates):
Cs1 0.500 0.500 0.500
Sb1 0.500 0.000 0.000
Sb2 0.000 0.000 0.500
Sb3 0.000 0.500 0.000
In1 0.000 0.000 0.000

=====

The following is a DFT calculation (meta-GGA SCAN) of a PBEsol-optimized structure of Be2AgBr.

Computed properties:
Symmetry: No. 160
E_tot (Ry per atom): -1.070
Crystal system: trigonal
Magnetic moment (μB per cell): 0.00

Unit cell a=3.107 b=3.107 c=7.898 alpha=78.66 beta=78.66 gamma=60.00
Atoms (fractional coordinates):
Be1 0.008 0.008 0.977
Be2 0.748 0.748 0.756
Br1 0.476 0.476 0.573
Ag1 0.269 0.269 0.193

=====

The following is a DFT calculation (meta-GGA SCAN) of a PBEsol-optimized structure of MnZnAg.

Computed properties:
Symmetry: No. 156
E_tot (Ry per atom): -1.549
Calculated formation energy (eV per atom): -0.029
Crystal system: trigonal
Magnetic moment (μB per cell): 4.07

Unit cell a=2.690 b=4.355 c=4.355 alpha=120.00 beta=90.00 gamma=90.00
Each line ends with the local moment (μB).
Atoms (fractional coordinates):
Zn1 0.246 0.667 0.333  -0.06
Mn1 0.661 0.333 0.667  4.00
Ag1 0.093 0.000 0.000  0.00

=====

The following is a DFT calculation (meta-GGA SCAN) of a PBEsol-optimized structure of MnV2Os.

Computed properties:
Symmetry: No. 225
E_tot (Ry per atom): -2.329
Calculated formation energy (eV per atom): -0.404
Crystal system: cubic
Magnetic moment (μB per cell): 0.01

Unit cell a=4.133 b=4.133 c=4.133 alpha=60.00 beta=60.00 gamma=60.00
Atoms (fractional coordinates):
V1 0.250 0.250 0.250
V2 0.750 0.750 0.750
Mn1 0.000 0.000 0.000
Os1 0.500 0.500 0.500

=====

The following is a DFT calculation (meta-GGA SCAN) of a PBEsol-optimized structure of BeHgW2.

Computed properties:
Symmetry: No. 99
E_tot (Ry per atom): -3.853
Calculated formation energy (eV per atom): 0.555
Crystal system: tetragonal
Magnetic moment (μB per cell): 0.00

Unit cell a=2.723 b=2.723 c=8.141 alpha=90.00 beta=90.00 gamma=90.00
Atoms (fractional coordinates):
W1 0.500 0.500 0.281
W2 0.000 0.000 0.008
Hg1 0.500 0.500 0.722
Be1 0.000 0.000 0.489

=====

The following is a DFT calculation (meta-GGA SCAN) of a PBEsol-optimized structure of Mn2NiP.

Computed properties:
Symmetry: No. 123
E_tot (Ry per atom): -1.165
Calculated formation energy (eV per atom): -0.080
Crystal system: tetragonal
Magnetic moment (μB per cell): 0.00

Unit cell a=2.719 b=3.874 c=3.874 alpha=90.00 beta=90.00 gamma=90.00
Atoms (fractional coordinates):
Mn1 0.000 0.500 0.000
Mn2 0.000 0.000 0.500
Ni1 0.500 0.500 0.500
P1 0.500 0.000 0.000

=====

The following is a DFT calculation (meta-GGA SCAN) of a PBEsol-optimized structure of NbFe3.

Computed properties:
Symmetry: No. 225
E_tot (Ry per atom): -1.610
Calculated formation energy (eV per atom): -0.024
Crystal system: cubic
Magnetic moment (μB per cell): 5.30

Unit cell a=4.120 b=4.120 c=4.120 alpha=60.00 beta=60.00 gamma=60.00
Each line ends with the local moment (μB).
Atoms (fractional coordinates):
Fe1 0.500 0.500 0.500  2.85
Fe2 0.750 0.750 0.750  1.68
Fe3 0.250 0.250 0.250  1.68
Nb1 0.000 0.000 0.000  -0.72

=====

The following is a DFT calculation (meta-GGA SCAN) of a PBEsol-optimized structure of NdCo2Si2.

Computed properties:
Symmetry: No. 139
E_tot (Ry per atom): -1.496
Crystal system: tetragonal
Magnetic moment (μB per cell): 0.00

Unit cell a=3.893 b=3.893 c=5.655 alpha=110.13 beta=110.13 gamma=90.00
Atoms (fractional coordinates):
Si1 0.633 0.633 0.266
Si2 0.367 0.367 0.734
Nd1 0.000 0.000 0.000
Co1 0.750 0.250 0.500
Co2 0.250 0.750 0.500

=====

The following is a DFT calculation (meta-GGA SCAN) of a PBEsol-optimized structure of MgIrSe2.

Computed properties:
Symmetry: No. 71
E_tot (Ry per atom): -2.176
Crystal system: orthorhombic
Magnetic moment (μB per cell): 0.00

Unit cell a=3.625 b=4.278 c=6.226 alpha=110.09 beta=106.92 gamma=90.00
Atoms (fractional coordinates):
Se1 0.350 0.350 0.700
Se2 0.650 0.650 0.300
Mg1 0.500 0.000 0.000
Ir1 0.000 0.500 0.000

=====

The following is a DFT calculation (meta-GGA SCAN) of a PBEsol-optimized structure of AgPtF2.

Computed properties:
Symmetry: No. 225
E_tot (Ry per atom): -2.012
Crystal system: cubic
Magnetic moment (μB per cell): 1.29

Unit cell a=4.171 b=4.171 c=4.171 alpha=60.00 beta=60.00 gamma=60.00
Each line ends with the local moment (μB).
Atoms (fractional coordinates):
Pt1 0.500 0.500 0.500  1.11
Ag1 0.000 0.000 0.000  -0.01
F1 0.250 0.250 0.250  0.12
F2 0.750 0.750 0.750  0.12

=====

The following is a DFT calculation (meta-GGA SCAN) of a PBEsol-optimized structure of InPW.

Computed properties:
Symmetry: No. 216
E_tot (Ry per atom): -2.709
Calculated formation energy (eV per atom): 0.971
Crystal system: cubic
Magnetic moment (μB per cell): 0.00

Unit cell a=4.319 b=4.319 c=4.319 alpha=60.00 beta=60.00 gamma=60.00
Atoms (fractional coordinates):
P1 0.500 0.500 0.500
In1 0.000 0.000 0.000
W1 0.250 0.250 0.250

=====

The following is a DFT calculation (meta-GGA SCAN) of a PBEsol-optimized structure of MgNiCl.

Computed properties:
Symmetry: No. 216
E_tot (Ry per atom): -0.691
Crystal system: cubic
Magnetic moment (μB per cell): 0.86

Unit cell a=4.290 b=4.290 c=4.290 alpha=60.00 beta=60.00 gamma=60.00
Each line ends with the local moment (μB).
Atoms (fractional coordinates):
Ni1 0.000 0.000 0.000  0.76
Cl1 0.500 0.500 0.500  0.08
Mg1 0.750 0.750 0.750  -0.01

=====

The following is a DFT calculation (meta-GGA SCAN) of a PBEsol-optimized structure of Tc2MoP.

Computed properties:
Symmetry: No. 47
E_tot (Ry per atom): -2.117
Calculated formation energy (eV per atom): 0.050
Crystal system: orthorhombic
Magnetic moment (μB per cell): 0.00

Unit cell a=2.973 b=4.226 c=4.347 alpha=90.00 beta=90.00 gamma=90.00
Atoms (fractional coordinates):
Mo1 0.500 0.500 0.000
Tc1 0.500 0.000 0.500
Tc2 0.000 0.000 0.000
P1 0.000 0.500 0.500

=====

The following is a DFT calculation (meta-GGA SCAN) of a PBEsol-optimized structure of Pr3AgGeS7.

Computed properties:
Symmetry: No. 173
E_tot (Ry per atom): -1.640
Crystal system: hexagonal
Magnetic moment (μB per cell): 0.00

Unit cell a=5.775 b=10.236 c=10.236 alpha=120.00 beta=90.00 gamma=90.00
Atoms (fractional coordinates):
S1 0.981 0.414 0.894
S2 0.229 0.825 0.731
S3 0.481 0.586 0.106
S4 0.981 0.106 0.520
S5 0.729 0.731 0.906
S6 0.981 0.480 0.586
S7 0.446 0.333 0.667
S8 0.729 0.094 0.825
S9 0.229 0.906 0.175
S10 0.229 0.269 0.094
S11 0.729 0.175 0.269
S12 0.481 0.520 0.414
S13 0.481 0.894 0.480
S14 0.946 0.667 0.333
Pr1 0.742 0.874 0.233
Pr2 0.242 0.641 0.874
Pr3 0.742 0.767 0.641
Pr4 0.242 0.233 0.359
Pr5 0.242 0.126 0.767
Pr6 0.742 0.359 0.126
Ag1 0.703 0.000 0.000
Ag2 0.203 0.000 0.000
Ge1 0.325 0.667 0.333
Ge2 0.825 0.333 0.667

=====

The following is a DFT calculation (meta-GGA SCAN) of a PBEsol-optimized structure of BaSr2Fe.

Computed properties:
Symmetry: No. 123
E_tot (Ry per atom): -1.850
Calculated formation energy (eV per atom): 0.391
Crystal system: tetragonal
Magnetic moment (μB per cell): 2.46

Unit cell a=3.864 b=3.864 c=10.246 alpha=90.00 beta=90.00 gamma=90.00
Each line ends with the local moment (μB).
Atoms (fractional coordinates):
Sr1 0.000 0.000 0.673  -0.09
Sr2 0.000 0.000 0.327  -0.09
Fe1 0.500 0.500 0.500  2.99
Ba1 0.500 0.500 0.000  0.05